(1)
This record from Alexandria describes crystalline Li2Pm2UN4 at its relaxed geometry. The functional is GGA-PBE.

Output
Its formation energy (no corrections) is -966.8 meV/atom. The calculation puts the total magnetization at 1.6 μB/f.u.

```
Li2Pm2UN4
1.0
-3.342 -0.015 0.630
2.814 -0.097 5.748
-0.374 5.678 -1.847
Li Pm U N
2 2 1 4
Direct
0.313 0.627 0.996 Li
0.687 0.373 0.004 Li
0.860 0.720 0.432 Pm
0.140 0.280 0.568 Pm
0.000 0.000 0.000 U
0.796 0.592 0.784 N
0.204 0.408 0.216 N
0.471 0.942 0.234 N
0.529 0.058 0.766 N
```



(2)
This record from Alexandria describes crystalline LiPm2UN4 at its relaxed geometry. The functional is GGA-PBE.

Output
Its formation energy (no corrections) is -1181.5 meV/atom. The calculation puts the total magnetization at 0.3 μB/f.u.

```
LiPm2UN4
1.0
-0.170 2.476 -2.593
-5.415 1.390 1.682
3.725 3.481 3.078
Li Pm U N
1 2 1 4
Direct
0.000 0.000 0.000 Li
0.500 0.000 0.500 Pm
0.000 0.500 0.500 Pm
0.500 0.500 0.000 U
0.500 0.296 0.232 N
0.500 0.704 0.768 N
0.000 0.263 0.771 N
0.000 0.737 0.229 N
```



Question: Which of these has the lowest formation energy (no corrections)?
Answer: LiPm2UN4



Question: What is the formula in the second record?
Answer: LiPm2UN4



Question: Which value of formation energy (no corrections) does entry 2 give?
Answer: -1181.5 meV/atom